#a
Below is a geometry-optimized CdReBr2 structure, with properties calculated at the PBE level.

DOS at the Fermi energy   2.657 states/eV/f.u.
Space group   No. 12

Unit cell a=3.924 b=3.924 c=9.541 alpha=96.00 beta=96.00 gamma=48.15
Fractional positions:
Cd: 0.000 0.000 0.000
Re: 0.500 0.500 0.500
Br: 0.224 0.224 0.650
Br: 0.776 0.776 0.350

---

#b
Below is a geometry-optimized CdReBr2 structure, with properties calculated at the PBE level.

DOS at the Fermi energy   2.204 states/eV/f.u.
Space group   No. 71

Unit cell a=7.723 b=7.723 c=7.723 alpha=156.71 beta=142.46 gamma=44.64
Fractional positions:
Cd: 0.000 0.000 0.000
Re: 0.500 0.500 0.000
Br: 0.355 0.855 0.500
Br: 0.645 0.145 0.500

---

Most favorable first, least favorable last: #b, #a

---

#a
Below is a geometry-optimized ZrZn2Mo structure, with properties calculated at the PBE level.

DOS at the Fermi energy   2.345 states/eV/f.u.
Space group   No. 25

Unit cell a=2.844 b=4.077 c=5.899 alpha=90.00 beta=90.00 gamma=90.00
Fractional positions:
Zr: 0.000 0.000 0.000
Zn: 0.000 0.000 0.492
Zn: 0.500 0.500 0.728
Mo: 0.500 0.500 0.263

---

#b
Below is a geometry-optimized ZrZn2Mo structure, with properties calculated at the PBE level.

DOS at the Fermi energy   1.889 states/eV/f.u.
Space group   No. 65

Unit cell a=4.903 b=4.903 c=2.904 alpha=90.00 beta=90.00 gamma=108.68
Fractional positions:
Zr: 0.000 0.000 0.000
Zn: 0.000 0.500 0.500
Zn: 0.500 0.000 0.500
Mo: 0.500 0.500 0.000

---

Most favorable first, least favorable last: #b, #a

---

#a
Below is a geometry-optimized Mn2CoBr structure, with properties calculated at the PBE level.

DOS at the Fermi energy   2.243 states/eV/f.u.
Space group   No. 10

Unit cell a=3.144 b=3.064 c=7.064 alpha=90.00 beta=90.48 gamma=90.00
Fractional positions:
Mn: 0.004 0.000 0.192
Mn: 0.996 0.000 0.808
Co: 0.500 0.500 0.000
Br: 0.000 0.500 0.500

---

#b
Below is a geometry-optimized Mn2CoBr structure, with properties calculated at the PBE level.

DOS at the Fermi energy   2.075 states/eV/f.u.
Space group   No. 44

Unit cell a=7.064 b=7.064 c=7.064 alpha=154.08 beta=152.43 gamma=38.20
Fractional positions:
Mn: 0.000 0.000 0.000
Mn: 0.800 0.300 0.500
Co: 0.430 0.430 0.000
Br: 0.172 0.672 0.500

---

Most favorable first, least favorable last: #a, #b

---

#a
Below is a geometry-optimized MnWBr2 structure, with properties calculated at the PBE level.

DOS at the Fermi energy   3.018 states/eV/f.u.
Space group   No. 47

Unit cell a=3.092 b=4.472 c=5.883 alpha=90.00 beta=90.00 gamma=90.00
Fractional positions:
Mn: 0.000 0.000 0.000
W: 0.500 0.000 0.500
Br: 0.000 0.500 0.500
Br: 0.500 0.500 0.000

---

#b
Below is a geometry-optimized MnWBr2 structure, with properties calculated at the PBE level.

DOS at the Fermi energy   1.980 states/eV/f.u.
Space group   No. 10

Unit cell a=3.095 b=4.378 c=6.106 alpha=90.00 beta=104.24 gamma=90.00
Fractional positions:
Mn: 0.000 0.000 0.000
W: 0.500 0.000 0.500
Br: 0.415 0.500 0.252
Br: 0.585 0.500 0.748

---

Most favorable first, least favorable last: #b, #a

---

#a
Below is a geometry-optimized CaTaH structure, with properties calculated at the PBE level.

DOS at the Fermi energy   1.882 states/eV/f.u.
Space group   No. 25

Unit cell a=3.523 b=3.578 c=8.742 alpha=90.00 beta=90.00 gamma=90.00
Fractional positions:
Ca: 0.000 0.000 0.000
Ca: 0.500 0.500 0.356
Ta: 0.000 0.000 0.618
Ta: 0.500 0.500 0.737
H: 0.000 0.500 0.175
H: 0.500 0.500 0.963

---

#b
Below is a geometry-optimized CaTaH structure, with properties calculated at the PBE level.

DOS at the Fermi energy   2.265 states/eV/f.u.
Space group   No. 129

Unit cell a=4.202 b=4.202 c=5.536 alpha=90.00 beta=90.00 gamma=90.00
Fractional positions:
Ca: 0.250 0.750 0.000
Ca: 0.750 0.250 0.000
Ta: 0.250 0.250 0.470
Ta: 0.750 0.750 0.530
H: 0.250 0.250 0.131
H: 0.750 0.750 0.869

---

Most favorable first, least favorable last: #a, #b